Entry 1:
A relaxed BeCd2In crystal. Source: the Alexandria database, functional GGA-PBE.

For the energy above the most stable polymorph in this dataset, the calculation gives 0.148 eV/atom. Its energy of formation is 0.38 eV/atom. The total magnetization comes out at 0.0 μB/f.u. Its density is 7.0 g/cm3.

CIF file:
```
data_BeCd2In
_cell_length_a 5.491
_cell_length_b 10.830
_cell_length_c 3.158
_cell_angle_alpha 90.00
_cell_angle_beta 117.93
_cell_angle_gamma 90.00
_symmetry_space_group_name_H-M 'C 1 2/m 1'
_symmetry_Int_Tables_number 12
_symmetry_space_group_name_Hall '-C 2y'
loop_
_atom_site_label
_atom_site_type_symbol
_atom_site_fract_x
_atom_site_fract_y
_atom_site_fract_z
_atom_site_occupancy
Be1 Be 0.000 0.000 0.000 1
Cd1 Cd 0.250 0.250 0.000 1
In1 In 0.000 0.500 0.000 1
```

***

Entry 2:
A relaxed BeCd2In crystal. Source: the Alexandria database, functional GGA-PBE.

For the energy above the most stable polymorph in this dataset, the calculation gives 0.137 eV/atom. Its energy of formation is 0.37 eV/atom. The total magnetization comes out at 0.0 μB/f.u. Its density is 7.0 g/cm3.

CIF file:
```
data_BeCd2In
_cell_length_a 3.854
_cell_length_b 3.892
_cell_length_c 5.489
_cell_angle_alpha 90.00
_cell_angle_beta 90.00
_cell_angle_gamma 90.00
_symmetry_space_group_name_H-M 'P m m m'
_symmetry_Int_Tables_number 47
_symmetry_space_group_name_Hall '-P 2 2'
loop_
_atom_site_label
_atom_site_type_symbol
_atom_site_fract_x
_atom_site_fract_y
_atom_site_fract_z
_atom_site_occupancy
Be1 Be 0.000 0.000 0.000 1
Cd1 Cd 0.500 0.500 0.242 1
In1 In 0.000 0.000 0.500 1
```

***

Entry 3:
A relaxed Be2CdIn crystal. Source: the Alexandria database, functional GGA-PBE.

For the energy above the most stable polymorph in this dataset, the calculation gives 0.032 eV/atom. Its energy of formation is 0.42 eV/atom. The total magnetization comes out at 0.0 μB/f.u. Its density is 5.4 g/cm3.

CIF file:
```
data_Be2CdIn
_cell_length_a 7.263
_cell_length_b 4.275
_cell_length_c 5.276
_cell_angle_alpha 90.00
_cell_angle_beta 113.84
_cell_angle_gamma 90.00
_symmetry_space_group_name_H-M 'C 1 2/m 1'
_symmetry_Int_Tables_number 12
_symmetry_space_group_name_Hall '-C 2y'
loop_
_atom_site_label
_atom_site_type_symbol
_atom_site_fract_x
_atom_site_fract_y
_atom_site_fract_z
_atom_site_occupancy
Be1 Be 0.170 0.000 0.022 1
Cd1 Cd 0.000 0.500 0.000 1
In1 In 0.000 0.000 0.500 1
```

***

Entry 4:
A relaxed Be2CdIn crystal. Source: the Alexandria database, functional GGA-PBE.

For the energy above the most stable polymorph in this dataset, the calculation gives 0.155 eV/atom. Its energy of formation is 0.54 eV/atom. The total magnetization comes out at 0.0 μB/f.u. Its density is 5.8 g/cm3.

CIF file:
```
data_Be2CdIn
_cell_length_a 3.432
_cell_length_b 4.210
_cell_length_c 4.890
_cell_angle_alpha 90.00
_cell_angle_beta 90.08
_cell_angle_gamma 90.00
_symmetry_space_group_name_H-M 'P 1 2/m 1'
_symmetry_Int_Tables_number 10
_symmetry_space_group_name_Hall '-P 2y'
loop_
_atom_site_label
_atom_site_type_symbol
_atom_site_fract_x
_atom_site_fract_y
_atom_site_fract_z
_atom_site_occupancy
Be1 Be 0.001 0.000 0.272 1
Cd1 Cd 0.500 0.500 0.500 1
In1 In 0.000 0.500 0.000 1
```

***

Entry 5:
A relaxed Be2CdIn crystal. Source: the Alexandria database, functional GGA-PBE.

For the energy above the most stable polymorph in this dataset, the calculation gives 0.399 eV/atom. Its energy of formation is 0.78 eV/atom. The total magnetization comes out at 0.0 μB/f.u. Its density is 5.6 g/cm3.

CIF file:
```
data_Be2CdIn
_cell_length_a 7.033
_cell_length_b 7.033
_cell_length_c 5.919
_cell_angle_alpha 90.00
_cell_angle_beta 90.00
_cell_angle_gamma 90.00
_symmetry_space_group_name_H-M 'I -4 2 d'
_symmetry_Int_Tables_number 122
_symmetry_space_group_name_Hall 'I -4 2bw'
loop_
_atom_site_label
_atom_site_type_symbol
_atom_site_fract_x
_atom_site_fract_y
_atom_site_fract_z
_atom_site_occupancy
Be1 Be 0.245 0.250 0.125 1
Cd1 Cd 0.000 0.000 0.000 1
In1 In 0.000 0.000 0.500 1
```

***

Entry 6:
A relaxed Be2Cd2In crystal. Source: the Alexandria database, functional GGA-PBE.

For the energy above the most stable polymorph in this dataset, the calculation gives 0.029 eV/atom. Its energy of formation is 0.47 eV/atom. The total magnetization comes out at 0.0 μB/f.u. Its density is 6.4 g/cm3.

CIF file:
```
data_Be2Cd2In
_cell_length_a 3.778
_cell_length_b 3.778
_cell_length_c 12.929
_cell_angle_alpha 90.00
_cell_angle_beta 90.00
_cell_angle_gamma 90.00
_symmetry_space_group_name_H-M 'I 4/m m m'
_symmetry_Int_Tables_number 139
_symmetry_space_group_name_Hall '-I 4 2'
loop_
_atom_site_label
_atom_site_type_symbol
_atom_site_fract_x
_atom_site_fract_y
_atom_site_fract_z
_atom_site_occupancy
Be1 Be 0.000 0.500 0.250 1
Cd1 Cd 0.000 0.000 0.118 1
In1 In 0.000 0.000 0.500 1
```